1.
Crystalline RbNa2HgCl at its relaxed geometry, computed with GGA-PBE.

Cell lengths 5.484, 5.484, 6.406 Å; angles 90.00, 90.00, 90.00 degrees
Sites, in units of the cell vectors:
Na (0.000, 0.500, 0.000)
Na (0.500, 0.000, 0.000)
Hg (0.500, 0.500, 0.500)
Rb (0.000, 0.000, 0.500)
Cl (0.000, 0.000, 0.000)

Calculated values
Total moment in Bohr magnetons per cell: 0.0
V in Å³/atom: 38.53
Uncorrected formation energy in eV/atom: -0.662
Space group: P4/mmm
D(E_F) in states/eV per atom: 0.51

2.
Crystalline NaHgRhCl6 at its relaxed geometry, computed with GGA-PBE.

Cell lengths 6.671, 6.671, 11.925 Å; angles 90.00, 90.00, 120.00 degrees
Sites, in units of the cell vectors:
Na (0.000, 0.000, 0.000)
Na (0.000, 0.000, 0.500)
Hg (0.333, 0.667, 0.250)
Hg (0.667, 0.333, 0.750)
Rh (0.667, 0.333, 0.250)
Rh (0.333, 0.667, 0.750)
Cl (0.660, 0.618, 0.135)
Cl (0.959, 0.340, 0.135)
Cl (0.340, 0.959, 0.635)
Cl (0.041, 0.660, 0.865)
Cl (0.382, 0.340, 0.365)
Cl (0.959, 0.618, 0.365)
Cl (0.618, 0.959, 0.865)
Cl (0.660, 0.041, 0.365)
Cl (0.041, 0.382, 0.635)
Cl (0.382, 0.041, 0.135)
Cl (0.618, 0.660, 0.635)
Cl (0.340, 0.382, 0.865)

Calculated values
Total moment in Bohr magnetons per cell: 0.0
V in Å³/atom: 25.53
Uncorrected formation energy in eV/atom: -0.856
Space group: P-31c
D(E_F) in states/eV per atom: 0.00

3.
Crystalline Na2HgRhCl6 at its relaxed geometry, computed with GGA-PBE.

Cell lengths 6.871, 6.869, 7.232 Å; angles 61.61, 61.59, 59.95 degrees
Sites, in units of the cell vectors:
Na (0.529, 0.528, 0.414)
Na (0.016, 0.016, 0.953)
Hg (0.817, 0.817, 0.548)
Rh (0.326, 0.326, 0.021)
Cl (0.560, 0.212, 0.245)
Cl (0.212, 0.983, 0.245)
Cl (0.983, 0.560, 0.245)
Cl (0.429, 0.673, 0.782)
Cl (0.674, 0.115, 0.782)
Cl (0.116, 0.429, 0.782)

Calculated values
Total moment in Bohr magnetons per cell: 0.0
V in Å³/atom: 24.69
Uncorrected formation energy in eV/atom: -0.986
Space group: P1
D(E_F) in states/eV per atom: 0.39

4.
Crystalline NaHgSCl2 at its relaxed geometry, computed with GGA-PBE.

Cell lengths 5.173, 5.173, 5.278 Å; angles 90.00, 90.00, 90.00 degrees
Each line ends with the local moment (μB).
Sites, in units of the cell vectors:
Na (0.000, 0.000, 0.000)  0.00
S (0.000, 0.000, 0.500)  0.94
Hg (0.500, 0.500, 0.500)  -0.02
Cl (0.000, 0.500, 0.000)  0.13
Cl (0.500, 0.000, 0.000)  0.13

Calculated values
Polymorph energy (0 for the lowest one) in eV/atom: 0.431
Total moment in Bohr magnetons per cell: 1.9
V in Å³/atom: 28.25
Uncorrected formation energy in eV/atom: 0.000
Space group: P4/mmm
D(E_F) in states/eV per atom: 1.17

5.
Crystalline NaHgSCl2 at its relaxed geometry, computed with GGA-PBE.

Cell lengths 5.429, 5.429, 4.942 Å; angles 90.00, 90.00, 90.00 degrees
Each line ends with the local moment (μB).
Sites, in units of the cell vectors:
Na (0.500, 0.500, 0.500)  0.00
S (0.000, 0.000, 0.500)  0.33
Hg (0.000, 0.000, 0.000)  0.01
Cl (0.000, 0.500, 0.000)  0.04
Cl (0.500, 0.000, 0.000)  0.04

Calculated values
Polymorph energy (0 for the lowest one) in eV/atom: 0.000
Total moment in Bohr magnetons per cell: 0.7
V in Å³/atom: 29.13
Uncorrected formation energy in eV/atom: -0.431
Space group: P4/mmm
D(E_F) in states/eV per atom: 0.90

6.
Crystalline NaHgSbCl6 at its relaxed geometry, computed with GGA-PBE.

Cell lengths 7.336, 7.336, 6.323 Å; angles 87.68, 92.32, 55.30 degrees
Sites, in units of the cell vectors:
Na (0.673, 0.673, 0.500)
Hg (0.980, 0.980, 0.000)
Sb (0.322, 0.322, 0.500)
Cl (0.021, 0.361, 0.272)
Cl (0.361, 0.020, 0.728)
Cl (0.704, 0.296, 0.777)
Cl (0.023, 0.622, 0.741)
Cl (0.296, 0.704, 0.223)
Cl (0.622, 0.023, 0.259)

Calculated values
Total moment in Bohr magnetons per cell: 0.0
V in Å³/atom: 30.97
Uncorrected formation energy in eV/atom: -0.964
Space group: C2
D(E_F) in states/eV per atom: 0.00

7.
Crystalline NaHgSeCl at its relaxed geometry, computed with GGA-PBE.

Cell lengths 4.593, 4.595, 6.465 Å; angles 90.00, 90.00, 119.98 degrees
Sites, in units of the cell vectors:
Na (0.836, 0.672, 0.500)
Hg (0.170, 0.341, 0.000)
Se (0.837, 0.674, 0.000)
Cl (0.169, 0.338, 0.500)

Calculated values
Total moment in Bohr magnetons per cell: 0.0
V in Å³/atom: 29.55
Uncorrected formation energy in eV/atom: -0.899
Space group: Amm2
D(E_F) in states/eV per atom: 0.06

8.
Crystalline NaSiHg2Cl at its relaxed geometry, computed with GGA-PBE.

Cell lengths 5.967, 4.833, 5.967 Å; angles 90.00, 90.00, 90.00 degrees
Each line ends with the local moment (μB).
Sites, in units of the cell vectors:
Na (0.000, 0.000, 0.000)  0.00
Si (0.500, 0.500, 0.500)  0.43
Hg (0.000, 0.000, 0.500)  0.02
Hg (0.500, 0.000, 0.000)  0.03
Cl (0.000, 0.500, 0.000)  0.03

Calculated values
Total moment in Bohr magnetons per cell: 1.7
V in Å³/atom: 34.42
Uncorrected formation energy in eV/atom: 0.274
Space group: P4/mmm
D(E_F) in states/eV per atom: 0.50

Which of these has the lowest V?
Na2HgRhCl6

What is the uncorrected formation energy in the seventh record?
-0.899 eV/atom